Entry 1:
VASP calculation (PBEsol) on a relaxed structure of SrMnN2O.

a b c (Å): 4.4160 4.6588 4.6588
angles (deg): 90.00 90.00 90.00
Site moments in Bohr magnetons follow the coordinates.
Sites, in units of the cell vectors:
Sr (0.0000, 0.0000, 0.0000)  0.13
Mn (0.5000, 0.5000, 0.5000)  4.47
O (0.5000, 0.0000, 0.0000)  0.64
N (0.0000, 0.0000, 0.5000)  1.19
N (0.0000, 0.5000, 0.0000)  1.19

formation energy without anion corrections	153	kJ/mol of atoms
magnetization	9.0	μB/f.u.
calculated total energy	-25.958	eV for the cell shown

=====

Entry 2:
VASP calculation (PBEsol) on a relaxed structure of Sr2CaSn2.

a b c (Å): 4.8510 8.3569 8.3569
angles (deg): 90.00 90.00 90.00
Sites, in units of the cell vectors:
Sr (0.5000, 0.1696, 0.6696)
Sr (0.5000, 0.6696, 0.8304)
Sr (0.5000, 0.8304, 0.3304)
Sr (0.5000, 0.3304, 0.1696)
Ca (0.0000, 0.0000, 0.0000)
Ca (0.0000, 0.5000, 0.5000)
Sn (0.0000, 0.3746, 0.8746)
Sn (0.0000, 0.8746, 0.6254)
Sn (0.0000, 0.6254, 0.1254)
Sn (0.0000, 0.1254, 0.3746)

calculated formation energy	-639	meV per atom
magnetization	0.2	μB/f.u.
calculated total energy	-35.051	eV for the cell shown

=====

Entry 3:
VASP calculation (PBEsol) on a relaxed structure of Li3V4P9O32.

a b c (Å): 6.1734 14.3961 14.3961
angles (deg): 90.00 90.00 90.00
Site moments in Bohr magnetons follow the coordinates.
Sites, in units of the cell vectors:
Li (0.3158, 0.0000, 0.5000)  0.00
Li (0.1842, 0.5000, 0.0000)  0.00
Li (0.8158, 0.0000, 0.5000)  0.00
Li (0.5000, 0.5000, 0.5000)  0.00
Li (0.6842, 0.5000, 0.0000)  0.00
Li (0.0000, 0.0000, 0.0000)  0.00
V (0.3530, 0.1505, 0.8465)  0.99
V (0.1470, 0.3495, 0.3465)  0.99
V (0.6470, 0.1535, 0.1505)  0.99
V (0.6470, 0.8465, 0.8495)  0.99
V (0.3530, 0.8495, 0.1535)  0.99
V (0.8530, 0.6535, 0.3495)  0.99
V (0.8530, 0.3465, 0.6505)  0.99
V (0.1470, 0.6505, 0.6535)  0.99
P (0.8425, 0.8386, 0.2100)  0.01
P (0.0931, 0.8012, 0.4817)  0.00
P (0.0931, 0.1988, 0.5183)  0.00
P (0.4069, 0.3012, 0.0183)  0.00
P (0.5931, 0.0183, 0.6988)  0.00
P (0.4069, 0.6988, 0.9817)  0.00
P (0.0000, 0.5000, 0.5000)  0.01
P (0.5931, 0.9817, 0.3012)  0.00
P (0.5000, 0.0000, 0.0000)  0.01
P (0.6575, 0.3386, 0.2900)  0.01
P (0.1575, 0.2100, 0.1614)  0.01
P (0.9069, 0.4817, 0.1988)  0.00
P (0.3425, 0.7100, 0.3386)  0.01
P (0.1575, 0.7900, 0.8386)  0.01
P (0.3425, 0.2900, 0.6614)  0.01
P (0.9069, 0.5183, 0.8012)  0.00
P (0.6575, 0.6614, 0.7100)  0.01
P (0.8425, 0.1614, 0.7900)  0.01
O (0.3985, 0.9363, 0.2520)  -0.02
O (0.2091, 0.2942, 0.0921)  0.00
O (0.6743, 0.0649, 0.2437)  -0.02
O (0.4498, 0.6288, 0.6635)  -0.01
O (0.8257, 0.5649, 0.2563)  -0.02
O (0.1601, 0.6390, 0.3475)  -0.01
O (0.6601, 0.1525, 0.8610)  -0.01
O (0.8985, 0.2480, 0.5637)  -0.02
O (0.3622, 0.2483, 0.7571)  -0.01
O (0.6743, 0.9351, 0.7563)  -0.02
O (0.8622, 0.7429, 0.2517)  -0.01
O (0.1608, 0.5559, 0.5603)  -0.01
O (0.3392, 0.0559, 0.9397)  -0.01
O (0.8399, 0.6525, 0.6390)  -0.01
O (0.1015, 0.5637, 0.7520)  -0.02
O (0.6378, 0.2429, 0.2483)  -0.01
O (0.5502, 0.6635, 0.3712)  -0.01
O (0.8985, 0.7520, 0.4363)  -0.02
O (0.6608, 0.9397, 0.9441)  -0.01
O (0.3985, 0.0637, 0.7480)  -0.02
O (0.7909, 0.0921, 0.7058)  0.00
O (0.3399, 0.8610, 0.8475)  -0.01
O (0.1743, 0.2563, 0.4351)  -0.02
O (0.8392, 0.4397, 0.5559)  -0.01
O (0.1015, 0.4363, 0.2480)  -0.02
O (0.1743, 0.7437, 0.5649)  -0.02
O (0.6601, 0.8475, 0.1390)  -0.01
O (0.6378, 0.7571, 0.7517)  -0.01
O (0.6015, 0.2520, 0.0637)  -0.02
O (0.4498, 0.3712, 0.3365)  -0.01
O (0.1601, 0.3610, 0.6525)  -0.01
O (0.9498, 0.8365, 0.8712)  -0.01
O (0.8622, 0.2571, 0.7483)  -0.01
O (0.3257, 0.2437, 0.9351)  -0.02
O (0.0502, 0.8712, 0.1635)  -0.01
O (0.0502, 0.1288, 0.8365)  -0.01
O (0.1608, 0.4441, 0.4397)  -0.01
O (0.2909, 0.7942, 0.4079)  0.00
O (0.4376, 0.5975, 0.0010)  0.00
O (0.8257, 0.4351, 0.7437)  -0.02
O (0.5624, 0.9990, 0.5975)  0.00
O (0.8392, 0.5603, 0.4441)  -0.01
O (0.9376, 0.4990, 0.9025)  0.00
O (0.9376, 0.5010, 0.0975)  0.00
O (0.3399, 0.1390, 0.1525)  -0.01
O (0.1378, 0.7483, 0.7429)  -0.01
O (0.9498, 0.1635, 0.1288)  -0.01
O (0.5502, 0.3365, 0.6288)  -0.01
O (0.7091, 0.5921, 0.7942)  0.00
O (0.6608, 0.0603, 0.0559)  -0.01
O (0.0624, 0.9025, 0.5010)  0.00
O (0.7091, 0.4079, 0.2058)  0.00
O (0.2909, 0.2058, 0.5921)  0.00
O (0.3392, 0.9441, 0.0603)  -0.01
O (0.3257, 0.7563, 0.0649)  -0.02
O (0.4376, 0.4025, 0.9990)  0.00
O (0.1378, 0.2517, 0.2571)  -0.01
O (0.7909, 0.9079, 0.2942)  0.00
O (0.3622, 0.7517, 0.2429)  -0.01
O (0.8399, 0.3475, 0.3610)  -0.01
O (0.5624, 0.0010, 0.4025)  0.00
O (0.2091, 0.7058, 0.9079)  0.00
O (0.6015, 0.7480, 0.9363)  -0.02
O (0.0624, 0.0975, 0.4990)  0.00

formation energy without anion corrections	-218	kJ/mol of atoms
magnetization	4.0	μB/f.u.
calculated total energy	-745.841	eV for the cell shown

=====

Entry 4:
VASP calculation (PBEsol) on a relaxed structure of MoAs2Ir.

a b c (Å): 2.9560 4.1493 5.1110
angles (deg): 90.00 90.00 90.00
Sites, in units of the cell vectors:
Mo (0.0000, 0.5000, 0.5000)
Ir (0.5000, 0.5000, 0.0000)
As (0.0000, 0.0000, 0.0000)
As (0.5000, 0.0000, 0.5000)

excess energy over the best structure of this formula in the dataset	278	meV/atom
calculated formation energy	309	meV per atom
magnetization	0.0	μB/f.u.
calculated total energy	-30.570	eV for the cell shown

=====

Entry 5:
VASP calculation (PBEsol) on a relaxed structure of SbIrBr2.

a b c (Å): 3.4212 5.0033 6.2392
angles (deg): 113.64 105.91 90.00
Sites, in units of the cell vectors:
Sb (0.0000, 0.5000, 0.0000)
Ir (0.5000, 0.0000, 0.0000)
Br (0.8322, 0.8322, 0.6644)
Br (0.1678, 0.1678, 0.3356)

excess energy over the best structure of this formula in the dataset	294	meV/atom
formation energy without anion corrections	27	kJ/mol of atoms
magnetization	0.0	μB/f.u.
calculated total energy	-17.002	eV for the cell shown

=====

Entry 6:
VASP calculation (PBEsol) on a relaxed structure of YTl3B.

a b c (Å): 5.7538 5.7538 5.7538
angles (deg): 90.00 90.00 90.00
Sites, in units of the cell vectors:
Y (0.0000, 0.0000, 0.0000)
Tl (0.0000, 0.5000, 0.0000)
Tl (0.0000, 0.0000, 0.5000)
Tl (0.5000, 0.0000, 0.0000)
B (0.5000, 0.5000, 0.5000)

calculated formation energy	1533	meV per atom
magnetization	0.0	μB/f.u.
calculated total energy	-14.064	eV for the cell shown

=====

Entry 7:
VASP calculation (PBEsol) on a relaxed structure of K3Hg.

a b c (Å): 4.4119 6.5055 7.8727
angles (deg): 114.48 106.27 90.00
Sites, in units of the cell vectors:
K (0.5000, 0.5000, 0.0000)
K (0.6961, 0.1960, 0.3923)
K (0.3039, 0.8040, 0.6077)
Hg (0.0000, 0.0000, 0.0000)

calculated formation energy	-70	meV per atom
magnetization	0.0	μB/f.u.
calculated total energy	-4.248	eV for the cell shown

=====

Entry 8:
VASP calculation (PBEsol) on a relaxed structure of RbHfGeRu2.

a b c (Å): 4.7242 4.7242 5.5785
angles (deg): 90.00 90.00 90.00
Sites, in units of the cell vectors:
Ru (0.0000, 0.5000, 0.0000)
Ru (0.5000, 0.0000, 0.0000)
Ge (0.5000, 0.5000, 0.5000)
Hf (0.0000, 0.0000, 0.0000)
Rb (0.0000, 0.0000, 0.5000)

calculated formation energy	1685	meV per atom
magnetization	0.0	μB/f.u.
calculated total energy	-28.385	eV for the cell shown

=====

Entry 9:
VASP calculation (PBEsol) on a relaxed structure of KHg2Au.

a b c (Å): 5.1020 5.1020 5.1603
angles (deg): 119.63 119.63 90.00
Sites, in units of the cell vectors:
K (0.0000, 0.0000, 0.0000)
Au (0.5000, 0.5000, 0.0000)
Hg (0.7500, 0.2500, 0.5000)
Hg (0.2500, 0.7500, 0.5000)

excess energy over the best structure of this formula in the dataset	82	meV/atom
calculated formation energy	-98	meV per atom
magnetization	0.0	μB/f.u.
calculated total energy	-6.581	eV for the cell shown

=====

Entry 10:
VASP calculation (PBEsol) on a relaxed structure of K3Na.

a b c (Å): 7.1053 8.8369 8.8369
angles (deg): 120.00 90.00 90.00
Sites, in units of the cell vectors:
Na (0.2500, 0.3333, 0.6667)
Na (0.7500, 0.6667, 0.3333)
K (0.7500, 0.1715, 0.3429)
K (0.7500, 0.1715, 0.8285)
K (0.7500, 0.6571, 0.8285)
K (0.2500, 0.8285, 0.6571)
K (0.2500, 0.8285, 0.1715)
K (0.2500, 0.3429, 0.1715)

calculated formation energy	14	meV per atom
magnetization	0.0	μB/f.u.
calculated total energy	-9.489	eV for the cell shown

=====

Entry 11:
VASP calculation (PBEsol) on a relaxed structure of BaAl2Tl2.

a b c (Å): 4.9071 4.9071 6.5553
angles (deg): 111.98 111.98 90.00
Sites, in units of the cell vectors:
Tl (0.2500, 0.7500, 0.5000)
Tl (0.7500, 0.2500, 0.5000)
Ba (0.0000, 0.0000, 0.0000)
Al (0.3832, 0.3832, 0.7664)
Al (0.6168, 0.6168, 0.2336)

calculated formation energy	-222	meV per atom
magnetization	0.0	μB/f.u.
calculated total energy	-16.704	eV for the cell shown

=====

Entry 12:
VASP calculation (PBEsol) on a relaxed structure of KSc2Pt.

a b c (Å): 3.9211 3.9211 10.4213
angles (deg): 79.16 79.16 60.00
Sites, in units of the cell vectors:
Sc (0.8754, 0.8754, 0.3738)
Sc (0.1246, 0.1246, 0.6262)
K (0.0000, 0.0000, 0.0000)
Pt (0.5000, 0.5000, 0.5000)

excess energy over the best structure of this formula in the dataset	0	meV/atom
calculated formation energy	-269	meV per atom
magnetization	0.0	μB/f.u.
calculated total energy	-22.383	eV for the cell shown

=====

Entry 13:
VASP calculation (PBEsol) on a relaxed structure of IrRu2W.

a b c (Å): 3.8169 3.8315 3.8315
angles (deg): 90.00 90.00 90.00
Sites, in units of the cell vectors:
Ru (0.0000, 0.0000, 0.5000)
Ru (0.0000, 0.5000, 0.0000)
Ir (0.5000, 0.0000, 0.0000)
W (0.5000, 0.5000, 0.5000)

excess energy over the best structure of this formula in the dataset	0	meV/atom
calculated formation energy	-176	meV per atom
magnetization	0.0	μB/f.u.
calculated total energy	-44.679	eV for the cell shown

=====

Entry 14:
VASP calculation (PBEsol) on a relaxed structure of Y3PdPt.

a b c (Å): 5.2804 5.2804 5.2804
angles (deg): 90.00 90.00 90.00
Sites, in units of the cell vectors:
Y (0.0000, 0.5000, 0.0000)
Y (0.0000, 0.0000, 0.5000)
Y (0.5000, 0.0000, 0.0000)
Pd (0.5000, 0.5000, 0.5000)
Pt (0.0000, 0.0000, 0.0000)

calculated formation energy	-225	meV per atom
magnetization	0.0	μB/f.u.
calculated total energy	-34.513	eV for the cell shown

=====

Entry 15:
VASP calculation (PBEsol) on a relaxed structure of BeCd2Co.

a b c (Å): 2.9357 3.8557 5.2993
angles (deg): 90.00 106.08 90.00
Sites, in units of the cell vectors:
Be (0.4190, 0.5000, 0.7163)
Co (0.3253, 0.0000, 0.5240)
Cd (0.0424, 0.0000, 0.9589)
Cd (0.7133, 0.5000, 0.3008)

calculated formation energy	250	meV per atom
magnetization	0.0	μB/f.u.
calculated total energy	-13.132	eV for the cell shown

=====

Entry 16:
VASP calculation (PBEsol) on a relaxed structure of IrOsCl2.

a b c (Å): 2.7155 2.7155 11.2539
angles (deg): 83.07 83.07 60.00
Site moments in Bohr magnetons follow the coordinates.
Sites, in units of the cell vectors:
Ir (0.5000, 0.5000, 0.5000)  0.64
Os (0.0000, 0.0000, 0.0000)  0.00
Cl (0.9336, 0.9336, 0.1991)  0.00
Cl (0.0664, 0.0664, 0.8009)  0.00

excess energy over the best structure of this formula in the dataset	634	meV/atom
formation energy without anion corrections	73	kJ/mol of atoms
magnetization	0.7	μB/f.u.
calculated total energy	-23.046	eV for the cell shown

=====

Entry 17:
VASP calculation (PBEsol) on a relaxed structure of BeTcSb2.

a b c (Å): 3.3198 4.5353 4.5590
angles (deg): 90.00 90.00 90.00
Sites, in units of the cell vectors:
Sb (0.0000, 0.0000, 0.0000)
Sb (0.0000, 0.5000, 0.5000)
Tc (0.5000, 0.5000, 0.0000)
Be (0.5000, 0.0000, 0.5000)

formation energy without anion corrections	50	kJ/mol of atoms
magnetization	0.0	μB/f.u.
calculated total energy	-22.295	eV for the cell shown

=====

Entry 18:
VASP calculation (PBEsol) on a relaxed structure of CdInW2.

a b c (Å): 2.7835 5.0158 5.2544
angles (deg): 95.57 90.00 106.11
Sites, in units of the cell vectors:
Cd (0.5016, 0.0033, 0.4923)
In (0.7474, 0.4949, 0.2594)
W (0.0016, 0.0033, 0.9780)
W (0.2493, 0.4986, 0.7703)

excess energy over the best structure of this formula in the dataset	0	meV/atom
calculated formation energy	620	meV per atom
magnetization	0.0	μB/f.u.
calculated total energy	-29.315	eV for the cell shown

=====

Entry 19:
VASP calculation (PBEsol) on a relaxed structure of NiCSe2.

a b c (Å): 3.6749 3.6749 6.2605
angles (deg): 72.93 72.93 60.00
Sites, in units of the cell vectors:
Ni (0.5000, 0.5000, 0.5000)
C (0.0000, 0.0000, 0.0000)
Se (0.9011, 0.9011, 0.2967)
Se (0.0989, 0.0989, 0.7033)

formation energy without anion corrections	72	kJ/mol of atoms
magnetization	0.0	μB/f.u.
calculated total energy	-20.530	eV for the cell shown

=====

Entry 20:
VASP calculation (PBEsol) on a relaxed structure of MgInSb.

a b c (Å): 4.8752 4.8752 4.8752
angles (deg): 60.00 60.00 60.00
Sites, in units of the cell vectors:
Sb (0.0000, 0.0000, 0.0000)
Mg (0.7500, 0.7500, 0.7500)
In (0.5000, 0.5000, 0.5000)

formation energy without anion corrections	-10	kJ/mol of atoms
magnetization	0.0	μB/f.u.
calculated total energy	-9.571	eV for the cell shown

=====

Entry 21:
VASP calculation (PBEsol) on a relaxed structure of BaAl2CdGe.

a b c (Å): 4.9682 4.9682 6.0740
angles (deg): 90.00 90.00 90.00
Sites, in units of the cell vectors:
Ge (0.5000, 0.5000, 0.5000)
Al (0.0000, 0.5000, 0.0000)
Al (0.5000, 0.0000, 0.0000)
Ba (0.0000, 0.0000, 0.5000)
Cd (0.0000, 0.0000, 0.0000)

calculated formation energy	527	meV per atom
magnetization	0.0	μB/f.u.
calculated total energy	-13.831	eV for the cell shown

=====

Entry 22:
VASP calculation (PBEsol) on a relaxed structure of Cr2In2Pt.

a b c (Å): 3.1750 3.1750 8.4702
angles (deg): 100.80 100.80 90.00
Sites, in units of the cell vectors:
Cr (0.2500, 0.7500, 0.5000)
Cr (0.7500, 0.2500, 0.5000)
Pt (0.0000, 0.0000, 0.0000)
In (0.3938, 0.3938, 0.7876)
In (0.6062, 0.6062, 0.2124)

calculated formation energy	301	meV per atom
magnetization	0.0	μB/f.u.
calculated total energy	-31.909	eV for the cell shown

=====

Entry 23:
VASP calculation (PBEsol) on a relaxed structure of Al2PbAu2.

a b c (Å): 4.1029 4.1029 6.5683
angles (deg): 108.20 108.20 90.00
Sites, in units of the cell vectors:
Pb (0.0000, 0.0000, 0.0000)
Au (0.3802, 0.3802, 0.7605)
Au (0.6198, 0.6198, 0.2395)
Al (0.2500, 0.7500, 0.5000)
Al (0.7500, 0.2500, 0.5000)

calculated formation energy	-269	meV per atom
magnetization	0.0	μB/f.u.
calculated total energy	-21.375	eV for the cell shown

=====

Entry 24:
VASP calculation (PBEsol) on a relaxed structure of YNb3F.

a b c (Å): 4.4579 4.4579 4.4579
angles (deg): 90.00 90.00 90.00
Sites, in units of the cell vectors:
Y (0.5000, 0.5000, 0.5000)
Nb (0.0000, 0.5000, 0.0000)
Nb (0.0000, 0.0000, 0.5000)
Nb (0.5000, 0.0000, 0.0000)
F (0.0000, 0.0000, 0.0000)

formation energy without anion corrections	-1	kJ/mol of atoms
magnetization	0.0	μB/f.u.
calculated total energy	-41.285	eV for the cell shown